No. 1
Material: Li5Cd4Ge
Method: DFT, PBE-GGA
State: optimized geometry

Output
E_form (eV per atom): -0.25
Calculated total energy (eV/atom): -2.04
DOS(E_F) (states/eV per cell): 3.0
Total magnetic moment (Bohr magnetons per cell): 0.0

Unit cell a=3.3591 b=3.3591 c=15.7208 alpha=90.00 beta=90.00 gamma=90.00
With the nearest neighbours (Å) after each atom.
Positions (direct):
Li (0.0000, 0.0000, 0.0000)  8 Cd 2.86, 2 Li 3.19
Li (0.0000, 0.0000, 0.2031)  8 Cd 2.86-2.87, 1 Li 3.19
Li (0.0000, 0.0000, 0.4101)  4 Ge 2.76, 1 Li 2.83, 4 Cd 2.90
Li (0.0000, 0.0000, 0.5899)  4 Ge 2.76, 1 Li 2.83, 4 Cd 2.90
Li (0.0000, 0.0000, 0.7969)  8 Cd 2.86-2.87, 1 Li 3.19
Cd (0.5000, 0.5000, 0.1012)  8 Li 2.86-2.87, 2 Cd 3.18-3.19
Cd (0.5000, 0.5000, 0.3044)  8 Li 2.86-2.90, 1 Ge 3.08, 1 Cd 3.19
Cd (0.5000, 0.5000, 0.6956)  8 Li 2.86-2.90, 1 Ge 3.08, 1 Cd 3.19
Cd (0.5000, 0.5000, 0.8988)  8 Li 2.86-2.87, 2 Cd 3.18-3.19
Ge (0.5000, 0.5000, 0.5000)  8 Li 2.76, 2 Cd 3.08

No. 2
Material: Y2TeIrC
Method: DFT, PBE-GGA
State: optimized geometry

Output
Energy relative to the elements, uncorrected (eV/atom): -0.708
Calculated total energy (eV/atom): -7.54
DOS(E_F) (states/eV per cell): 4.7
Total magnetic moment (Bohr magnetons per cell): 0.0

Unit cell a=5.1941 b=5.1941 c=3.8852 alpha=90.00 beta=90.00 gamma=90.00
With the nearest neighbours (Å) after each atom.
Positions (direct):
Y (0.0000, 0.5000, 0.0000)  2 C 2.60
Y (0.5000, 0.0000, 0.0000)  2 C 2.60
Te (0.0000, 0.0000, 0.5000)  8 Y 3.24
Ir (0.5000, 0.5000, 0.5000)  2 C 1.94
C (0.5000, 0.5000, 0.0000)  2 Ir 1.94

No. 3
Material: La2MgGaCu6
Method: DFT, PBE-GGA
State: optimized geometry

Output
E_form (eV per atom): -0.15
Calculated total energy (eV/atom): -4.05
DOS(E_F) (states/eV per cell): 5.3
Total magnetic moment (Bohr magnetons per cell): 0.0

Unit cell a=5.1464 b=6.5638 c=6.7907 alpha=80.35 beta=67.79 gamma=66.94
With the nearest neighbours (Å) after each atom.
Positions (direct):
La (0.2391, 0.3044, 0.2165)  9 Cu 3.10-3.46, 2 Ga 3.36, 2 Mg 3.46
La (0.7609, 0.6956, 0.7835)  9 Cu 3.10-3.46, 2 Ga 3.36, 2 Mg 3.46
Mg (0.0000, 0.0000, 0.0000)  6 Cu 2.57-2.70
Ga (0.5000, 0.5000, 0.5000)  6 Cu 2.46-2.63
Cu (0.2321, 0.7645, 0.2763)  1 Ga 2.46, 4 Cu 2.47-2.60, 1 Mg 2.57
Cu (0.2494, 0.9259, 0.5778)  4 Cu 2.47-2.50, 1 Ga 2.63, 1 Mg 2.70
Cu (0.2732, 0.2360, 0.7241)  1 Ga 2.46, 4 Cu 2.47-2.60, 1 Mg 2.57
Cu (0.7268, 0.7640, 0.2759)  1 Ga 2.46, 4 Cu 2.47-2.60, 1 Mg 2.57
Cu (0.7506, 0.0741, 0.4222)  4 Cu 2.47-2.50, 1 Ga 2.63, 1 Mg 2.70
Cu (0.7679, 0.2355, 0.7237)  1 Ga 2.46, 4 Cu 2.47-2.60, 1 Mg 2.57

No. 4
Material: SmGa2Pd6
Method: DFT, PBE-GGA
State: optimized geometry

Output
E_form (eV per atom): -0.34
Calculated total energy (eV/atom): -5.00
DOS(E_F) (states/eV per cell): 4.0
Total magnetic moment (Bohr magnetons per cell): 0.0

Unit cell a=8.0030 b=8.0030 c=8.0030 alpha=60.00 beta=60.00 gamma=60.00
With the nearest neighbours (Å) after each atom.
Positions (direct):
Sm (0.1250, 0.1250, 0.1250)  6 Pd 2.79
Sm (0.8750, 0.8750, 0.8750)  6 Pd 2.79
Ga (0.0000, 0.5000, 0.5000)  6 Pd 2.47
Ga (0.5000, 0.0000, 0.5000)  6 Pd 2.47
Ga (0.5000, 0.5000, 0.0000)  6 Pd 2.47
Ga (0.5000, 0.5000, 0.5000)  6 Pd 2.47
Pd (0.1215, 0.1215, 0.6285)  2 Ga 2.47
Pd (0.1215, 0.6285, 0.1215)  2 Ga 2.47
Pd (0.1215, 0.6285, 0.6285)  2 Ga 2.47
Pd (0.3715, 0.3715, 0.8785)  2 Ga 2.47
Pd (0.3715, 0.8785, 0.3715)  2 Ga 2.47
Pd (0.3715, 0.8785, 0.8785)  2 Ga 2.47
Pd (0.6285, 0.1215, 0.1215)  2 Ga 2.47
Pd (0.6285, 0.1215, 0.6285)  2 Ga 2.47
Pd (0.6285, 0.6285, 0.1215)  2 Ga 2.47
Pd (0.8785, 0.3715, 0.3715)  2 Ga 2.47
Pd (0.8785, 0.3715, 0.8785)  2 Ga 2.47
Pd (0.8785, 0.8785, 0.3715)  2 Ga 2.47

No. 5
Material: Y4Ga2Sn
Method: DFT, PBE-GGA
State: optimized geometry

Output
E_form (eV per atom): -0.42
Calculated total energy (eV/atom): -5.55
DOS(E_F) (states/eV per cell): 15.3
Total magnetic moment (Bohr magnetons per cell): 0.0

Unit cell a=8.1085 b=8.1085 c=8.1085 alpha=109.05 beta=109.05 gamma=110.31
With the nearest neighbours (Å) after each atom.
Positions (direct):
Y (0.1903, 0.2585, 0.5682)  3 Ga 2.94-2.96, 1 Sn 3.05
Y (0.1903, 0.6222, 0.9318)  3 Ga 2.94-2.96, 1 Sn 3.05
Y (0.2585, 0.1903, 0.0682)  3 Ga 2.94-2.96, 1 Sn 3.05
Y (0.3778, 0.8097, 0.5682)  3 Ga 2.94-2.96, 1 Sn 3.05
Y (0.6222, 0.1903, 0.4318)  3 Ga 2.94-2.96, 1 Sn 3.05
Y (0.7415, 0.8097, 0.9318)  3 Ga 2.94-2.96, 1 Sn 3.05
Y (0.8097, 0.3778, 0.0682)  3 Ga 2.94-2.96, 1 Sn 3.05
Y (0.8097, 0.7415, 0.4318)  3 Ga 2.94-2.96, 1 Sn 3.05
Ga (0.0000, 0.5000, 0.5000)  6 Y 2.94-2.96
Ga (0.5000, 0.0000, 0.0000)  6 Y 2.94-2.96
Ga (0.5000, 0.5000, 0.0000)  6 Y 2.94-2.96
Ga (0.5000, 0.5000, 0.5000)  6 Y 2.94-2.96
Sn (0.1250, 0.8750, 0.2500)  8 Y 3.05-3.39
Sn (0.8750, 0.1250, 0.7500)  8 Y 3.05-3.39

No. 6
Material: Li6Zn3In2
Method: DFT, PBE-GGA
State: optimized geometry

Output
E_form (eV per atom): -0.07
Calculated total energy (eV/atom): -1.96
DOS(E_F) (states/eV per cell): 3.3
Total magnetic moment (Bohr magnetons per cell): 0.0

Unit cell a=8.5180 b=8.5180 c=3.0500 alpha=90.00 beta=90.00 gamma=105.63
With the nearest neighbours (Å) after each atom.
Positions (direct):
Li (0.1176, 0.1176, 0.0000)  1 Li 2.42, 2 Zn 2.49
Li (0.1729, 0.5152, 0.0000)  3 Zn 2.80-2.82, 3 Li 2.89-3.05, 2 In 3.07
Li (0.4848, 0.8271, 0.0000)  3 Zn 2.80-2.82, 3 Li 2.89-3.05, 2 In 3.07
Li (0.5152, 0.1729, 0.0000)  3 Zn 2.80-2.82, 3 Li 2.89-3.05, 2 In 3.07
Li (0.8271, 0.4848, 0.0000)  3 Zn 2.80-2.82, 3 Li 2.89-3.05, 2 In 3.07
Li (0.8824, 0.8824, 0.0000)  1 Li 2.42, 2 Zn 2.49
Zn (0.3092, 0.3092, 0.5000)  2 Zn 2.49, 2 Li 2.49
Zn (0.5000, 0.5000, 0.0000)  4 Zn 2.49
Zn (0.6908, 0.6908, 0.5000)  2 Zn 2.49, 2 Li 2.49
In (0.1719, 0.8281, 0.5000)  8 Li 3.04-3.07, 2 In 3.05
In (0.8281, 0.1719, 0.5000)  8 Li 3.04-3.07, 2 In 3.05

No. 7
Material: Rb3Cd2I2Cl5
Method: DFT, PBE-GGA
State: optimized geometry

Output
Energy relative to the elements, uncorrected (eV/atom): -1.397
Calculated total energy (eV/atom): -2.82
DOS(E_F) (states/eV per cell): 0.0
Total magnetic moment (Bohr magnetons per cell): 0.0

Unit cell a=14.7025 b=14.7025 c=14.7025 alpha=158.95 beta=158.95 gamma=29.94
With the nearest neighbours (Å) after each atom.
Positions (direct):
Rb (0.0000, 0.0000, 0.0000)  12 Cl 3.69-3.80
Rb (0.1682, 0.1682, 0.0000)  4 Cl 3.50, 5 I 3.86-3.88
Rb (0.8318, 0.8318, 0.0000)  4 Cl 3.50, 5 I 3.86-3.88
Cd (0.4065, 0.4065, 0.0000)  5 Cl 2.66-2.69, 1 I 2.91
Cd (0.5935, 0.5935, 0.0000)  5 Cl 2.66-2.69, 1 I 2.91
I (0.3040, 0.3040, 0.0000)  1 Cd 2.91
I (0.6960, 0.6960, 0.0000)  1 Cd 2.91
Cl (0.0889, 0.5889, 0.5000)  2 Cd 2.69
Cl (0.4111, 0.9111, 0.5000)  2 Cd 2.69
Cl (0.5000, 0.5000, 0.0000)  2 Cd 2.66
Cl (0.5889, 0.0889, 0.5000)  2 Cd 2.69
Cl (0.9111, 0.4111, 0.5000)  2 Cd 2.69

No. 8
Material: TbTiPd2
Method: DFT, PBE-GGA
State: optimized geometry

Output
E_form (eV per atom): -0.56
Calculated total energy (eV/atom): -6.29
Energy relative to the lowest polymorph listed for this composition (meV per atom): 70.1
DOS(E_F) (states/eV per cell): 4.0
Total magnetic moment (Bohr magnetons per cell): 0.8

Unit cell a=4.8114 b=4.8114 c=3.2561 alpha=90.00 beta=90.00 gamma=90.00
With the nearest neighbours (Å) after each atom.
Positions (direct):
Tb (0.0000, 0.0000, 0.0000)  8 Pd 2.90
Ti (0.5000, 0.5000, 0.0000)  8 Pd 2.90
Pd (0.0000, 0.5000, 0.5000)  4 Tb 2.90, 4 Ti 2.90
Pd (0.5000, 0.0000, 0.5000)  4 Tb 2.90, 4 Ti 2.90

No. 9
Material: SrZrPN2
Method: DFT, PBE-GGA
State: optimized geometry

Output
Energy relative to the elements, uncorrected (eV/atom): 1.683
Calculated total energy (eV/atom): -4.77
DOS(E_F) (states/eV per cell): 4.3
Total magnetic moment (Bohr magnetons per cell): 0.0

Unit cell a=4.1074 b=4.1074 c=4.9359 alpha=90.00 beta=90.00 gamma=90.00
With the nearest neighbours (Å) after each atom.
Positions (direct):
Sr (0.0000, 0.0000, 0.0000)  2 P 2.47
Zr (0.5000, 0.5000, 0.0000)  4 Sr 2.90, 8 N 3.21
P (0.0000, 0.0000, 0.5000)  4 N 2.05
N (0.0000, 0.5000, 0.5000)  2 P 2.05
N (0.5000, 0.0000, 0.5000)  2 P 2.05